## MgCuPd4 (PBE)

Data for a geometry-optimized MgCuPd4 structure.

Lattice parameters (Å, degrees): 7.2411 4.1911 7.2206 90.00 109.41 90.00
Space group C2/m (No. 12)
Symmetry-distinct sites (fractional):
Mg (0.0000, 0.0000, 0.0000) [2 per cell]
Cu (0.0000, 0.5000, 0.5000) [2 per cell]
Pd (0.1224, 0.5000, 0.8678) [4 per cell]
Pd (0.1282, 0.0000, 0.3844) [4 per cell]

Properties
**Calculated total energy**: -52.84 eV/cell
**Formation enthalpy at 0 K**: 0.01 eV/atom
**Energy relative to the lowest polymorph listed for this composition**: 334.0 meV/atom